# Tl2In2Pb3

A geometry-optimized Tl2In2Pb3 structure (PBE, Alexandria).

Values from the calculation:
The value obtained for the size of the total moment is 0.00 μB per cell. Its total energy is -3.03 eV per atom. The calculation puts the theoretical density at 9.80 g cm⁻³. The calculation puts the density of states at the Fermi level at 3.42 states/eV/cell.

extended XYZ file:
```
7
Lattice="-2.8447 -1.4742 1.2997 2.1655 -0.2186 4.4919 -3.4590 11.0645 4.9793" Properties=species:S:1:pos:R:3 pbc="T T T"
In -1.8646 5.4599 6.7111
In -2.2737 3.9118 4.0597
Pb 0.0000 0.0000 0.0000
Pb -0.9877 0.7480 3.2858
Pb -3.1505 8.6237 7.4850
Tl -2.1171 7.7631 4.1717
Tl 0.8236 3.0829 5.2995
```



# Dy2GaHPt6

A geometry-optimized Dy2GaHPt6 structure (PBE, Alexandria).

Values from the calculation:
The value obtained for the size of the total moment is 0.00 μB per cell. Its total energy is -6.03 eV per atom. The calculation puts the theoretical density at 15.35 g cm⁻³. The calculation puts the density of states at the Fermi level at 3.42 states/eV/cell.

extended XYZ file:
```
10
Lattice="-2.5892 -3.9791 3.0183 3.9231 -4.8877 -3.0772 4.3189 -4.8652 2.5347" Properties=species:S:1:pos:R:3 pbc="T T T"
Pt 2.5836 -4.8656 -1.5690
Pt 1.2931 -6.8493 -0.0642
Pt 2.8717 -8.8775 1.2473
Pt 2.7812 -4.8545 1.2285
Pt 3.0692 -8.8664 4.0448
Pt 4.3598 -6.8827 2.5400
H 0.0000 0.0000 0.0000
Ga 0.6670 -4.4334 -0.0294
Dy 4.9952 -7.4731 -0.3226
Dy 0.6576 -6.2589 2.7984
```



# Ca2SbOs

A geometry-optimized Ca2SbOs structure (PBE, Alexandria).

Values from the calculation:
The value obtained for the size of the total moment is 0.36 μB per cell. Its total energy is -4.75 eV per atom. The calculation puts the theoretical density at 7.15 g cm⁻³. The calculation puts the density of states at the Fermi level at 3.70 states/eV/cell.

extended XYZ file:
```
4
Lattice="7.1626 0.0166 0.0507 -2.8457 4.5959 0.0024 1.4713 0.9109 2.7771" Properties=species:S:1:pos:R:3 pbc="T T T"
Sb 2.1585 2.3062 0.0265
Ca 4.3170 0.4637 1.4139
Ca 0.0000 0.0000 0.0000
Os -0.6872 2.7534 1.3898
```



# Sc4ZnGa3

A geometry-optimized Sc4ZnGa3 structure (PBE, Alexandria).

Values from the calculation:
The value obtained for the size of the total moment is 0.00 μB per cell. Its total energy is -5.02 eV per atom. The calculation puts the theoretical density at 5.01 g cm⁻³. The calculation puts the density of states at the Fermi level at 5.58 states/eV/cell. The value obtained for the energy relative to the lowest polymorph listed for this composition is 0 meV/atom.

extended XYZ file:
```
8
Lattice="4.5455 0.0000 1.3418 2.0747 4.0444 1.3418 0.0481 0.0294 8.2073" Properties=species:S:1:pos:R:3 pbc="T T T"
Zn 0.0000 0.0000 0.0000
Sc 4.1408 2.5297 2.7127
Sc 0.8594 0.5250 5.4589
Sc 5.8089 3.5487 5.4319
Sc 2.5275 1.5441 8.1781
Ga 4.9834 3.0445 8.2283
Ga 1.6848 1.0293 2.6626
Ga 3.3341 2.0369 5.4454
```



# AcTe2O6

A geometry-optimized AcTe2O6 structure (PBE, Alexandria).

Values from the calculation:
The value obtained for the size of the total moment is 1.91 μB per cell. Its total energy is -6.09 eV per atom. The calculation puts the theoretical density at 5.84 g cm⁻³. The calculation puts the density of states at the Fermi level at 8.31 states/eV/cell.

extended XYZ file:
```
18
Lattice="7.0464 0.0564 -2.0620 -3.6102 6.0516 -2.0620 -0.0728 -0.1294 7.7644" Properties=species:S:1:pos:R:3 pbc="T T T"
O 5.1004 1.5116 4.4590
O 3.0714 5.2732 2.2322
O 3.1401 2.5590 -1.4629
O 1.3444 3.7098 0.5768
O 5.4440 0.4199 1.2970
O 0.3435 0.7970 1.3464
O -0.4797 5.1954 3.1666
O -0.8670 6.0133 -1.8626
O -1.4337 3.8723 0.4120
O 3.1845 2.4488 2.4193
O 0.1602 3.3072 5.1792
O 1.1708 0.7611 4.0816
Te -0.1631 1.5285 2.9910
Te 4.3030 3.2327 -2.7888
Te 0.4085 5.1422 4.8112
Te 3.1565 3.7925 1.0934
Ac -0.1396 5.9862 0.8087
Ac 0.8428 1.4981 -1.0115
```



# Re2H2Rh

A geometry-optimized Re2H2Rh structure (PBE, Alexandria).

Values from the calculation:
The value obtained for the size of the total moment is 0.62 μB per cell. Its total energy is -7.38 eV per atom. The calculation puts the theoretical density at 15.79 g cm⁻³. The calculation puts the density of states at the Fermi level at 4.78 states/eV/cell. The value obtained for the energy relative to the lowest polymorph listed for this composition is 0 meV/atom.

extended XYZ file:
```
5
Lattice="3.4619 0.0000 0.0000 0.0000 3.4619 0.0000 1.7309 1.7309 4.1880" Properties=species:S:1:pos:R:3 pbc="T T T"
Rh 0.0000 0.0000 0.0000
H 1.7309 3.4619 2.0940
H 3.4619 1.7309 2.0940
Re 3.4619 3.4619 2.8719
Re 1.7309 1.7309 1.3161
```



# Dy2Y

A geometry-optimized Dy2Y structure (PBE, Alexandria).

Values from the calculation:
The value obtained for the size of the total moment is 0.00 μB per cell. Its total energy is -5.20 eV per atom. The calculation puts the theoretical density at 7.23 g cm⁻³. The calculation puts the density of states at the Fermi level at 4.08 states/eV/cell. The value obtained for the energy relative to the lowest polymorph listed for this composition is 0 meV/atom.

extended XYZ file:
```
3
Lattice="-2.9834 -1.7219 -0.8474 1.7174 -1.6965 -2.5992 2.4567 -3.8198 6.5372" Properties=species:S:1:pos:R:3 pbc="T T T"
Y 0.0000 0.0000 0.0000
Dy -0.0220 -3.5614 -0.1107
Dy 1.2128 -3.6768 3.2013
```



# Tb3Pr2HoSb6

A geometry-optimized Tb3Pr2HoSb6 structure (PBE, Alexandria).

Values from the calculation:
The value obtained for the size of the total moment is 0.00 μB per cell. Its total energy is -5.55 eV per atom. The calculation puts the theoretical density at 7.35 g cm⁻³. The calculation puts the density of states at the Fermi level at 1.93 states/eV/cell.

extended XYZ file:
```
12
Lattice="-2.0410 0.3327 3.9426 7.0559 -3.6921 3.9643 3.0397 9.3120 -1.7259" Properties=species:S:1:pos:R:3 pbc="T T T"
Pr 5.0409 4.0416 4.7822
Pr 3.0137 1.9110 1.3989
Sb 4.2538 4.8387 1.7938
Sb 2.7259 8.6740 3.1928
Sb 3.8008 1.1139 4.3873
Sb 0.1832 3.0213 2.3535
Sb 7.8714 2.9313 3.8275
Sb 5.3286 -2.7214 2.9882
Ho -1.0205 0.1664 1.9713
Tb 6.5658 0.1071 3.3900
Tb 2.5074 -1.6797 3.9535
Tb 1.4888 5.8455 2.7911
```



# Cs2PrTeO6

A geometry-optimized Cs2PrTeO6 structure (PBE, Alexandria).

Values from the calculation:
The value obtained for the size of the total moment is 1.05 μB per cell. Its total energy is -5.59 eV per atom. The calculation puts the theoretical density at 4.07 g cm⁻³. The calculation puts the density of states at the Fermi level at 2.03 states/eV/cell.

extended XYZ file:
```
10
Lattice="-0.5479 4.7520 -3.9116 3.0508 -3.7409 -4.9719 -6.8875 -0.1839 0.7413" Properties=species:S:1:pos:R:3 pbc="T T T"
O -2.5559 -2.4676 -4.5411
O -1.8286 3.2948 -3.6011
O -6.0429 3.1823 -3.1475
O 1.6583 -2.3551 -4.9946
O -0.2084 -0.0661 -1.9525
O -4.1762 0.8934 -6.1896
Te 0.0000 0.0000 0.0000
Cs -3.6322 -0.8712 -1.5733
Cs -0.7524 1.6984 -6.5689
Pr -0.2739 2.3760 -1.9558
```



# Li4LaSn2Au

A geometry-optimized Li4LaSn2Au structure (PBE, Alexandria).

Values from the calculation:
The value obtained for the size of the total moment is 0.00 μB per cell. Its total energy is -3.44 eV per atom. The calculation puts the theoretical density at 5.85 g cm⁻³. The calculation puts the density of states at the Fermi level at 2.77 states/eV/cell.

extended XYZ file:
```
8
Lattice="4.7347 0.0000 0.0000 2.3674 4.1004 0.0000 2.3674 1.3668 8.7898" Properties=species:S:1:pos:R:3 pbc="T T T"
Li 4.7347 2.7336 6.8589
Li 7.1021 4.1004 3.6077
Li 2.3674 1.3668 5.1821
Li 4.7347 2.7336 1.9309
Sn 2.3674 1.3668 1.9727
Sn 7.1021 4.1004 6.8171
La 0.0000 0.0000 0.0000
Au 4.7347 2.7336 4.3949
```



# K2AlAu2

A geometry-optimized K2AlAu2 structure (PBE, Alexandria).

Values from the calculation:
The value obtained for the size of the total moment is 0.00 μB per cell. Its total energy is -2.69 eV per atom. The calculation puts the theoretical density at 6.12 g cm⁻³. The calculation puts the density of states at the Fermi level at 4.33 states/eV/cell. The value obtained for the energy relative to the lowest polymorph listed for this composition is 75 meV/atom.

extended XYZ file:
```
10
Lattice="7.0065 0.0000 0.0000 0.0000 7.0065 0.0000 0.0000 0.0000 5.5188" Properties=species:S:1:pos:R:3 pbc="T T T"
Au 1.0411 2.4621 0.0000
Au 2.4621 5.9654 0.0000
Au 5.9654 4.5444 0.0000
Au 4.5444 1.0411 0.0000
Al 3.5033 3.5033 0.0000
Al 0.0000 0.0000 0.0000
K 1.1908 4.6941 2.7594
K 5.8157 2.3124 2.7594
K 2.3124 1.1908 2.7594
K 4.6941 5.8157 2.7594
```



# Tl2InHg7

A geometry-optimized Tl2InHg7 structure (PBE, Alexandria).

Values from the calculation:
The value obtained for the size of the total moment is 0.00 μB per cell. Its total energy is -0.94 eV per atom. The calculation puts the theoretical density at 10.40 g cm⁻³. The calculation puts the density of states at the Fermi level at 2.19 states/eV/cell. The value obtained for the energy relative to the lowest polymorph listed for this composition is 4 meV/atom.

extended XYZ file:
```
10
Lattice="-1.7504 -0.3447 4.5879 1.0350 -4.8124 0.0334 11.9255 5.0984 2.2921" Properties=species:S:1:pos:R:3 pbc="T T T"
Hg 4.9087 1.0876 4.5953
Hg 1.0998 0.2579 3.0798
Hg 2.4925 -1.9760 0.8025
Hg 8.7175 1.9173 6.1108
Hg 10.1102 -0.3166 3.8335
Hg 6.3014 -1.1463 2.3180
Hg -0.3577 -2.5785 2.3106
In 0.0000 0.0000 0.0000
Tl 3.4603 -1.7469 3.8298
Tl 7.7497 1.6881 3.0835
```